Entry 1:
Ac2Pm5Dy12 after structural relaxation. Source: the Alexandria database, functional PBE.

a b c (Å): 6.900 6.946 15.125
angles (deg): 79.89 87.41 64.47
Element x y z (fractional)
Ac 0.013 0.233 0.038
Ac 0.987 0.767 0.962
Pm 0.445 0.922 0.613
Pm 0.496 0.733 0.037
Pm 0.500 0.500 0.500
Pm 0.504 0.267 0.963
Pm 0.555 0.078 0.387
Dy 0.015 0.617 0.388
Dy 0.067 0.114 0.420
Dy 0.240 0.070 0.821
Dy 0.251 0.583 0.751
Dy 0.259 0.419 0.192
Dy 0.281 0.875 0.250
Dy 0.719 0.125 0.750
Dy 0.741 0.581 0.808
Dy 0.749 0.417 0.249
Dy 0.760 0.930 0.179
Dy 0.933 0.886 0.580
Dy 0.985 0.383 0.612

Entry 2:
AcPmDy3 after structural relaxation. Source: the Alexandria database, functional PBE.

a b c (Å): 4.943 8.650 9.480
angles (deg): 69.09 74.91 90.00
Element x y z (fractional)
Ac 0.115 0.152 0.271
Ac 0.885 0.848 0.729
Pm 0.313 0.111 0.875
Pm 0.687 0.889 0.125
Dy 0.055 0.696 0.389
Dy 0.227 0.626 0.046
Dy 0.414 0.551 0.671
Dy 0.586 0.449 0.329
Dy 0.773 0.374 0.954
Dy 0.945 0.304 0.611

Entry 3:
Ac2Pm4Dy3 after structural relaxation. Source: the Alexandria database, functional PBE.

a b c (Å): 10.342 8.833 7.003
angles (deg): 80.65 57.43 41.93
Element x y z (fractional)
Ac 0.116 0.116 0.884
Ac 0.884 0.884 0.116
Pm 0.166 0.461 0.539
Pm 0.461 0.166 0.834
Pm 0.539 0.834 0.166
Pm 0.834 0.539 0.461
Dy 0.000 0.000 0.500
Dy 0.500 0.500 0.000
Dy 0.500 0.500 0.500

Entry 4:
AcPm4Dy after structural relaxation. Source: the Alexandria database, functional PBE.

Values from the calculation:
energy above the most stable polymorph in this dataset = 0.000 eV per atom

a b c (Å): 3.716 5.154 11.124
angles (deg): 90.00 90.00 90.00
Element x y z (fractional)
Ac 0.000 0.000 0.000
Pm 0.000 0.000 0.339
Pm 0.000 0.000 0.661
Pm 0.500 0.500 0.177
Pm 0.500 0.500 0.823
Dy 0.500 0.500 0.500

Entry 5:
Ac6Pm2Dy after structural relaxation. Source: the Alexandria database, functional PBE.

a b c (Å): 7.791 7.791 6.720
angles (deg): 99.53 99.53 74.08
Element x y z (fractional)
Ac 0.103 0.706 0.707
Ac 0.196 0.196 0.825
Ac 0.294 0.897 0.293
Ac 0.706 0.103 0.707
Ac 0.804 0.804 0.175
Ac 0.897 0.294 0.293
Pm 0.361 0.361 0.371
Pm 0.639 0.639 0.629
Dy 0.500 0.500 0.000

Entry 6:
Ac19Pm4Dy6 after structural relaxation. Source: the Alexandria database, functional PBE.

a b c (Å): 11.764 11.764 11.764
angles (deg): 109.47 109.47 109.47
Element x y z (fractional)
Ac 0.000 0.000 0.000
Ac 0.000 0.218 0.659
Ac 0.000 0.268 0.268
Ac 0.000 0.659 0.218
Ac 0.000 0.732 0.732
Ac 0.218 0.000 0.659
Ac 0.218 0.659 0.000
Ac 0.268 0.000 0.268
Ac 0.268 0.268 0.000
Ac 0.341 0.341 0.559
Ac 0.341 0.559 0.341
Ac 0.441 0.782 0.782
Ac 0.559 0.341 0.341
Ac 0.659 0.000 0.218
Ac 0.659 0.218 0.000
Ac 0.732 0.000 0.732
Ac 0.732 0.732 0.000
Ac 0.782 0.441 0.782
Ac 0.782 0.782 0.441
Pm 0.000 0.000 0.353
Pm 0.000 0.353 0.000
Pm 0.353 0.000 0.000
Pm 0.647 0.647 0.647
Dy 0.116 0.500 0.616
Dy 0.384 0.884 0.500
Dy 0.500 0.384 0.884
Dy 0.500 0.616 0.116
Dy 0.616 0.116 0.500
Dy 0.884 0.500 0.384

Calculated values (μB per formula unit) of size of the total moment for the records, taken in order: 0.0; 0.0; 0.0; 0.0; 0.0; 0.0.
Calculated values (eV per formula unit) of DFT formation energy for the records, taken in order: 2.1; 0.7; 1.5; 0.2; 1.6; 10.8.